# YIr2Au PBE relaxed
# * ΔH_f (0 K): -0.3777 eV/atom
# * DFT total energy: -7.24 eV/atom
# * D(E_F): 3.94 states/eV/f.u.
data_YIr2Au
_cell_length_a 4.1424
_cell_length_b 4.1424
_cell_length_c 4.0902
_cell_angle_alpha 90.00
_cell_angle_beta 90.00
_cell_angle_gamma 90.00
_symmetry_space_group_name_H-M 'P 4/m m m'
_symmetry_Int_Tables_number 123
_symmetry_space_group_name_Hall '-P 4 2'
loop_
_atom_site_label
_atom_site_type_symbol
_atom_site_fract_x
_atom_site_fract_y
_atom_site_fract_z
_atom_site_occupancy
Y1 Y 0.0000 0.0000 0.0000 1
Ir1 Ir 0.0000 0.5000 0.5000 1
Au1 Au 0.5000 0.5000 0.0000 1